(1)
A PBEsol-optimized structure of Ir2PbCl. Source: the Alexandria database, functional meta-GGA SCAN.

D(E_F) (states/eV/atom): 0.88
Uncorrected formation energy (meV per atom): 1102
Polymorph energy (0 for the lowest one) (eV per atom): 0.286
Theoretical density (g/cm3): 15.35
Symmetry: I4/mmm

Unit cell a=4.233 b=4.827 c=4.233 alpha=116.00 beta=90.00 gamma=116.00
Fractional positions:
Ir1 0.250 0.500 0.750
Ir2 0.750 0.500 0.250
Pb1 0.500 0.000 0.500
Cl1 0.000 0.000 0.000

(2)
A PBEsol-optimized structure of SrReTe. Source: the Alexandria database, functional meta-GGA SCAN.

D(E_F) (states/eV/atom): 0.62
Uncorrected formation energy (meV per atom): 1400
Theoretical density (g/cm3): 6.61
Symmetry: F-43m

Unit cell a=5.224 b=5.224 c=5.224 alpha=60.00 beta=60.00 gamma=60.00
Last column: magnetic moment on the atom in μB.
Fractional positions:
Re1 0.500 0.500 0.500  3.38
Te1 0.000 0.000 0.000  0.20
Sr1 0.750 0.750 0.750  0.07

(3)
A PBEsol-optimized structure of Sc3C. Source: the Alexandria database, functional meta-GGA SCAN.

Energy of formation (eV/atom): -0.169
D(E_F) (states/eV/atom): 0.25
Polymorph energy (0 for the lowest one) (eV per atom): 0.187
Theoretical density (g/cm3): 3.25
Symmetry: P-6m2

Unit cell a=3.271 b=3.271 c=8.112 alpha=90.00 beta=90.00 gamma=120.00
Last column: magnetic moment on the atom in μB.
Fractional positions:
Sc1 0.333 0.667 0.839  0.08
C1 0.000 0.000 0.000  -0.01
Sc2 0.333 0.667 0.161  0.08
Sc3 0.000 0.000 0.500  0.38

(4)
A PBEsol-optimized structure of Li2BiSb2. Source: the Alexandria database, functional meta-GGA SCAN.

D(E_F) (states/eV/atom): 0.36
Uncorrected formation energy (meV per atom): -319
Theoretical density (g/cm3): 6.55
Symmetry: P4/mbm

Unit cell a=3.168 b=8.643 c=8.643 alpha=90.00 beta=90.00 gamma=90.00
Fractional positions:
Sb1 0.000 0.677 0.177
Sb2 0.000 0.823 0.677
Sb3 0.000 0.177 0.323
Bi1 0.000 0.000 0.000
Li1 0.500 0.620 0.880
Li2 0.500 0.880 0.380
Li3 0.500 0.120 0.620
Sb4 0.000 0.323 0.823
Bi2 0.000 0.500 0.500
Li4 0.500 0.380 0.120

(5)
A PBEsol-optimized structure of CsHgSbSe3. Source: the Alexandria database, functional meta-GGA SCAN.

Uncorrected formation energy (meV per atom): -587
Theoretical density (g/cm3): 6.19
Symmetry: Cmc2_1

Unit cell a=4.250 b=8.105 c=11.166 alpha=90.00 beta=90.00 gamma=105.20
Fractional positions:
Sb1 0.004 0.008 0.005
Se1 0.626 0.252 0.963
Se2 0.942 0.884 0.735
Hg1 0.448 0.897 0.255
Se3 0.058 0.116 0.235
Sb2 0.996 0.992 0.505
Se4 0.621 0.242 0.541
Cs1 0.743 0.486 0.250
Cs2 0.257 0.514 0.750
Se5 0.379 0.758 0.041
Hg2 0.552 0.103 0.755
Se6 0.374 0.748 0.463